No. 1
# Be2ReHgI

Be2ReHgI at its PBEsol-relaxed geometry (SCAN, Alexandria via LeMat-Bulk).

Geometry as CIF:
```
data_Be2ReHgI
_space_group_name_H-M_alt 'P 4/m m m'
_space_group_IT_number 123
_space_group_name_Hall '-P 4 2'
_cell_length_a 4.3464
_cell_length_b 4.3464
_cell_length_c 5.4169
_cell_angle_alpha 90.00
_cell_angle_beta 90.00
_cell_angle_gamma 90.00
loop_
_atom_site_label
_atom_site_type_symbol
_atom_site_fract_x
_atom_site_fract_y
_atom_site_fract_z
Be1 Be 0.0000 0.5000 0.0000
Re1 Re 0.0000 0.0000 0.5000
Hg1 Hg 0.0000 0.0000 0.0000
I1 I 0.5000 0.5000 0.5000
```

As for the uncorrected formation energy: 1464.0 meV per atom. For the total energy, the calculation gives -177.39 eV/cell.

---

No. 2
# BeHgSbI2

BeHgSbI2 at its PBEsol-relaxed geometry (SCAN, Alexandria via LeMat-Bulk).

Geometry as CIF:
```
data_BeHgSbI2
_space_group_name_H-M_alt 'P 4/m m m'
_space_group_IT_number 123
_space_group_name_Hall '-P 4 2'
_cell_length_a 5.7687
_cell_length_b 5.7687
_cell_length_c 5.5750
_cell_angle_alpha 90.00
_cell_angle_beta 90.00
_cell_angle_gamma 90.00
loop_
_atom_site_label
_atom_site_type_symbol
_atom_site_fract_x
_atom_site_fract_y
_atom_site_fract_z
Be1 Be 0.0000 0.0000 0.0000
Hg1 Hg 0.5000 0.5000 0.5000
Sb1 Sb 0.5000 0.5000 0.0000
I1 I 0.0000 0.5000 0.5000
```

As for the uncorrected formation energy: 975.9 meV per atom. For the total energy, the calculation gives -178.38 eV/cell.

---

No. 3
# BeInHg2

BeInHg2 at its PBEsol-relaxed geometry (SCAN, Alexandria via LeMat-Bulk).

Geometry as CIF:
```
data_BeInHg2
_space_group_name_H-M_alt 'I -4 m 2'
_space_group_IT_number 119
_space_group_name_Hall 'I -4 -2'
_cell_length_a 4.2567
_cell_length_b 4.2567
_cell_length_c 8.6853
_cell_angle_alpha 90.00
_cell_angle_beta 90.00
_cell_angle_gamma 90.00
loop_
_atom_site_label
_atom_site_type_symbol
_atom_site_fract_x
_atom_site_fract_y
_atom_site_fract_z
Be1 Be 0.0000 0.0000 0.0000
In1 In 0.0000 0.5000 0.7500
Hg1 Hg 0.0000 0.0000 0.5000
Hg2 Hg 0.0000 0.5000 0.2500
```

For the total energy, the calculation gives -344.66 eV/cell. The calculation puts the energy of formation from the pure elements at 0.435 eV/atom.

---

No. 4
# BeInHg4

BeInHg4 at its PBEsol-relaxed geometry (SCAN, Alexandria via LeMat-Bulk).

Geometry as CIF:
```
data_BeInHg4
_space_group_name_H-M_alt 'F -4 3 m'
_space_group_IT_number 216
_space_group_name_Hall 'F -4 2 3'
_cell_length_a 8.2716
_cell_length_b 8.2716
_cell_length_c 8.2716
_cell_angle_alpha 90.00
_cell_angle_beta 90.00
_cell_angle_gamma 90.00
loop_
_atom_site_label
_atom_site_type_symbol
_atom_site_fract_x
_atom_site_fract_y
_atom_site_fract_z
Be1 Be 0.0000 0.0000 0.0000
In1 In 0.2500 0.2500 0.2500
Hg1 Hg 0.1253 0.1253 0.6253
```

For the total energy, the calculation gives -1228.15 eV/cell. The calculation puts the energy of formation from the pure elements at 0.561 eV/atom.

---

No. 5
# BeIn4Hg

BeIn4Hg at its PBEsol-relaxed geometry (SCAN, Alexandria via LeMat-Bulk).

Geometry as CIF:
```
data_BeIn4Hg
_space_group_name_H-M_alt 'F -4 3 m'
_space_group_IT_number 216
_space_group_name_Hall 'F -4 2 3'
_cell_length_a 8.4585
_cell_length_b 8.4585
_cell_length_c 8.4585
_cell_angle_alpha 90.00
_cell_angle_beta 90.00
_cell_angle_gamma 90.00
loop_
_atom_site_label
_atom_site_type_symbol
_atom_site_fract_x
_atom_site_fract_y
_atom_site_fract_z
Be1 Be 0.0000 0.0000 0.0000
In1 In 0.1252 0.1252 0.6252
Hg1 Hg 0.2500 0.2500 0.2500
```

For the total energy, the calculation gives -810.44 eV/cell. The calculation puts the energy of formation from the pure elements at 0.576 eV/atom.

---

No. 6
# BeHg4Ir

BeHg4Ir at its PBEsol-relaxed geometry (SCAN, Alexandria via LeMat-Bulk).

Geometry as CIF:
```
data_BeHg4Ir
_space_group_name_H-M_alt 'F -4 3 m'
_space_group_IT_number 216
_space_group_name_Hall 'F -4 2 3'
_cell_length_a 7.7586
_cell_length_b 7.7586
_cell_length_c 7.7586
_cell_angle_alpha 90.00
_cell_angle_beta 90.00
_cell_angle_gamma 90.00
loop_
_atom_site_label
_atom_site_type_symbol
_atom_site_fract_x
_atom_site_fract_y
_atom_site_fract_z
Be1 Be 0.0000 0.0000 0.0000
Hg1 Hg 0.1249 0.1249 0.3751
Ir1 Ir 0.2500 0.2500 0.7500
```

For the total energy, the calculation gives -1366.71 eV/cell. The calculation puts the energy of formation from the pure elements at 1.073 eV/atom.

---

No. 7
# BeTc2HgIr

BeTc2HgIr at its PBEsol-relaxed geometry (SCAN, Alexandria via LeMat-Bulk).

Geometry as CIF:
```
data_BeTc2HgIr
_space_group_name_H-M_alt 'P 4/m m m'
_space_group_IT_number 123
_space_group_name_Hall '-P 4 2'
_cell_length_a 4.8567
_cell_length_b 4.8567
_cell_length_c 4.0027
_cell_angle_alpha 90.00
_cell_angle_beta 90.00
_cell_angle_gamma 90.00
loop_
_atom_site_label
_atom_site_type_symbol
_atom_site_fract_x
_atom_site_fract_y
_atom_site_fract_z
Be1 Be 0.0000 0.0000 0.0000
Tc1 Tc 0.0000 0.5000 0.5000
Hg1 Hg 0.0000 0.0000 0.5000
Ir1 Ir 0.5000 0.5000 0.0000
```

For the total energy, the calculation gives -202.72 eV/cell. The calculation puts the energy of formation from the pure elements at 2.204 eV/atom.

---

No. 8
# KBe4Hg

KBe4Hg at its PBEsol-relaxed geometry (SCAN, Alexandria via LeMat-Bulk).

Geometry as CIF:
```
data_KBe4Hg
_space_group_name_H-M_alt 'F -4 3 m'
_space_group_IT_number 216
_space_group_name_Hall 'F -4 2 3'
_cell_length_a 6.9635
_cell_length_b 6.9635
_cell_length_c 6.9635
_cell_angle_alpha 90.00
_cell_angle_beta 90.00
_cell_angle_gamma 90.00
loop_
_atom_site_label
_atom_site_type_symbol
_atom_site_fract_x
_atom_site_fract_y
_atom_site_fract_z
K1 K 0.0000 0.0000 0.0000
Be1 Be 0.1193 0.1193 0.3807
Hg1 Hg 0.2500 0.2500 0.7500
```

For the total energy, the calculation gives -360.06 eV/cell. The calculation puts the energy of formation from the pure elements at 0.649 eV/atom.

---

No. 9
# KMg2BeHg

KMg2BeHg at its PBEsol-relaxed geometry (SCAN, Alexandria via LeMat-Bulk).

Geometry as CIF:
```
data_KMg2BeHg
_space_group_name_H-M_alt 'P 4/m m m'
_space_group_IT_number 123
_space_group_name_Hall '-P 4 2'
_cell_length_a 6.3917
_cell_length_b 6.3917
_cell_length_c 5.7571
_cell_angle_alpha 90.00
_cell_angle_beta 90.00
_cell_angle_gamma 90.00
loop_
_atom_site_label
_atom_site_type_symbol
_atom_site_fract_x
_atom_site_fract_y
_atom_site_fract_z
K1 K 0.0000 0.0000 0.0000
Mg1 Mg 0.0000 0.5000 0.0000
Be1 Be 0.0000 0.0000 0.5000
Hg1 Hg 0.5000 0.5000 0.5000
```

For the total energy, the calculation gives -84.11 eV/cell. The calculation puts the energy of formation from the pure elements at 1.337 eV/atom.

---

No. 10
# KMnBeHg2

KMnBeHg2 at its PBEsol-relaxed geometry (SCAN, Alexandria via LeMat-Bulk).

Geometry as CIF:
```
data_KMnBeHg2
_space_group_name_H-M_alt 'P 4/m m m'
_space_group_IT_number 123
_space_group_name_Hall '-P 4 2'
_cell_length_a 5.9604
_cell_length_b 5.9604
_cell_length_c 6.0557
_cell_angle_alpha 90.00
_cell_angle_beta 90.00
_cell_angle_gamma 90.00
loop_
_atom_site_label
_atom_site_type_symbol
_atom_site_fract_x
_atom_site_fract_y
_atom_site_fract_z
K1 K 0.0000 0.0000 0.0000
Mn1 Mn 0.0000 0.0000 0.5000
Be1 Be 0.5000 0.5000 0.5000
Hg1 Hg 0.0000 0.5000 0.0000
```

For the total energy, the calculation gives -160.60 eV/cell. The calculation puts the energy of formation from the pure elements at 1.333 eV/atom.

---

No. 11
# LaBeHg4

LaBeHg4 at its PBEsol-relaxed geometry (SCAN, Alexandria via LeMat-Bulk).

Geometry as CIF:
```
data_LaBeHg4
_space_group_name_H-M_alt 'F -4 3 m'
_space_group_IT_number 216
_space_group_name_Hall 'F -4 2 3'
_cell_length_a 8.2625
_cell_length_b 8.2625
_cell_length_c 8.2625
_cell_angle_alpha 90.00
_cell_angle_beta 90.00
_cell_angle_gamma 90.00
loop_
_atom_site_label
_atom_site_type_symbol
_atom_site_fract_x
_atom_site_fract_y
_atom_site_fract_z
La1 La 0.0000 0.0000 0.0000
Be1 Be 0.2500 0.2500 0.2500
Hg1 Hg 0.1246 0.1246 0.6246
```

For the total energy, the calculation gives -1277.43 eV/cell. The calculation puts the energy of formation from the pure elements at 0.128 eV/atom.

---

No. 12
# LiBe2Hg

LiBe2Hg at its PBEsol-relaxed geometry (SCAN, Alexandria via LeMat-Bulk).

Geometry as CIF:
```
data_LiBe2Hg
_space_group_name_H-M_alt 'I -4 m 2'
_space_group_IT_number 119
_space_group_name_Hall 'I -4 -2'
_cell_length_a 4.0950
_cell_length_b 4.0950
_cell_length_c 5.7664
_cell_angle_alpha 90.00
_cell_angle_beta 90.00
_cell_angle_gamma 90.00
loop_
_atom_site_label
_atom_site_type_symbol
_atom_site_fract_x
_atom_site_fract_y
_atom_site_fract_z
Li1 Li 0.0000 0.0000 0.0000
Be1 Be 0.0000 0.0000 0.5000
Be2 Be 0.0000 0.5000 0.7500
Hg1 Hg 0.0000 0.5000 0.2500
```

For the total energy, the calculation gives -158.21 eV/cell. The calculation puts the energy of formation from the pure elements at 0.039 eV/atom.

---

No. 13
# Li2BeHg

Li2BeHg at its PBEsol-relaxed geometry (SCAN, Alexandria via LeMat-Bulk).

Geometry as CIF:
```
data_Li2BeHg
_space_group_name_H-M_alt 'P 1 m 1'
_space_group_IT_number 6
_cell_length_a 2.8203
_cell_length_b 4.3535
_cell_length_c 4.8530
_cell_angle_alpha 90.00
_cell_angle_beta 90.26
_cell_angle_gamma 90.00
loop_
_space_group_symop_operation_xyz
'x,y,z'
'x,-y,z'
loop_
_atom_site_label
_atom_site_type_symbol
_atom_site_fract_x
_atom_site_fract_y
_atom_site_fract_z
Li1 Li 0.0000 0.0000 0.0000
Li2 Li 0.0070 0.5000 0.6910
Be1 Be 0.5069 0.5000 0.2036
Hg1 Hg 0.5030 0.0000 0.4800
```

The calculation puts the energy above the most stable polymorph in this dataset at 0.0000 eV/atom. For the total energy, the calculation gives -77.45 eV/cell. The calculation puts the energy of formation from the pure elements at -0.038 eV/atom.

---

No. 14
# Li2BeHg

Li2BeHg at its PBEsol-relaxed geometry (SCAN, Alexandria via LeMat-Bulk).

Geometry as CIF:
```
data_Li2BeHg
_space_group_name_H-M_alt 'P m m 2'
_space_group_IT_number 25
_cell_length_a 2.9631
_cell_length_b 3.3911
_cell_length_c 5.9295
_cell_angle_alpha 90.00
_cell_angle_beta 90.00
_cell_angle_gamma 90.00
loop_
_space_group_symop_operation_xyz
'x,y,z'
'-x,-y,z'
'-x,y,z'
'x,-y,z'
loop_
_atom_site_label
_atom_site_type_symbol
_atom_site_fract_x
_atom_site_fract_y
_atom_site_fract_z
Li1 Li 0.0000 0.0000 0.0000
Li2 Li 0.5000 0.5000 0.2728
Be1 Be 0.0000 0.0000 0.5106
Hg1 Hg 0.5000 0.5000 0.7339
```

The calculation puts the energy above the most stable polymorph in this dataset at 0.0263 eV/atom. For the total energy, the calculation gives -77.35 eV/cell. The calculation puts the energy of formation from the pure elements at -0.012 eV/atom.